## NaCeTh2 (PBE)

Data for a relaxed structure of NaCeTh2.

Geometry as POSCAR:
```
NaCeTh2
1.0
2.039 1.177 10.696
-2.039 1.177 10.696
0.000 -2.355 10.696
Na Ce Th
1 1 2
direct
0.000 0.000 0.000
0.500 0.500 0.500
0.115 0.115 0.115
0.885 0.885 0.885
```

## Properties
Space-group type: No. 166
Formation enthalpy at 0 K in kJ/mol of formula units: 315


## CdBi2P (PBE)

Data for a relaxed structure of CdBi2P.

Geometry as POSCAR:
```
CdBi2P
1.0
-3.275 3.275 6.686
3.275 -3.275 6.686
3.275 3.275 -6.686
Cd Bi P
2 4 2
direct
0.000 0.000 0.000
0.750 0.250 0.500
0.151 0.625 0.026
0.375 0.401 0.526
0.599 0.125 0.974
0.875 0.849 0.474
0.250 0.750 0.500
0.500 0.500 0.000
```

## Properties
Space-group type: No. 122
Formation enthalpy at 0 K in kJ/mol of formula units: 108
Energy above the most stable polymorph in this dataset in meV/atom: 0


## BaCdSn8Au2 (PBE)

Data for a relaxed structure of BaCdSn8Au2.

Geometry as POSCAR:
```
BaCdSn8Au2
1.0
3.103 1.792 10.027
-3.103 1.792 10.027
0.000 -3.583 10.027
Ba Cd Sn Au
1 1 8 2
direct
0.000 0.000 0.000
0.500 0.500 0.500
0.026 0.872 0.442
0.128 0.558 0.974
0.387 0.387 0.387
0.442 0.026 0.872
0.558 0.974 0.128
0.613 0.613 0.613
0.872 0.442 0.026
0.974 0.128 0.558
0.295 0.295 0.295
0.705 0.705 0.705
```

## Properties
Space-group type: No. 148
Formation enthalpy at 0 K in kJ/mol of formula units: -150


## CsRbNa2Se (PBE)

Data for a relaxed structure of CsRbNa2Se.

Geometry as POSCAR:
```
CsRbNa2Se
1.0
6.057 0.000 0.000
0.000 6.057 0.000
0.000 0.000 6.833
Cs Rb Na Se
1 1 2 1
direct
0.000 0.000 0.000
0.500 0.500 0.000
0.000 0.500 0.500
0.500 0.000 0.500
0.500 0.500 0.500
```

## Properties
Space-group type: No. 123
Energy above the most stable polymorph in this dataset in meV/atom: 11
Formation energy (no corrections) in meV per atom: -439


## Ba3Zn4In2 (PBE)

Data for a relaxed structure of Ba3Zn4In2.

Geometry as POSCAR:
```
Ba3Zn4In2
1.0
6.239 -2.454 0.000
6.239 2.454 0.000
-3.128 0.000 8.924
Ba Zn In
3 4 2
direct
0.000 0.000 0.000
0.370 0.370 0.312
0.630 0.630 0.688
0.099 0.099 0.424
0.270 0.270 0.938
0.730 0.730 0.062
0.901 0.901 0.576
0.335 0.335 0.675
0.665 0.665 0.325
```

## Properties
Space-group type: No. 12
Formation enthalpy at 0 K in kJ/mol of formula units: -225


## Pr5Sn2Sb2 (PBE)

Data for a relaxed structure of Pr5Sn2Sb2.

Geometry as POSCAR:
```
Pr5Sn2Sb2
1.0
8.025 -4.221 0.000
8.025 4.221 0.000
0.000 0.000 8.499
Pr Sn Sb
10 4 4
direct
0.000 0.000 0.000
0.034 0.691 0.667
0.191 0.534 0.167
0.309 0.966 0.667
0.466 0.809 0.167
0.500 0.500 0.500
0.534 0.191 0.833
0.691 0.034 0.333
0.809 0.466 0.833
0.966 0.309 0.333
0.129 0.871 0.371
0.371 0.629 0.871
0.629 0.371 0.129
0.871 0.129 0.629
0.203 0.203 0.000
0.297 0.297 0.500
0.703 0.703 0.500
0.797 0.797 0.000
```

## Properties
Space-group type: No. 64
Formation energy (no corrections) in meV per atom: -949


## Th3TeIrC (PBE)

Data for a relaxed structure of Th3TeIrC.

Geometry as POSCAR:
```
Th3TeIrC
1.0
9.095 0.000 0.000
0.000 4.146 0.000
-2.099 0.000 9.372
Th Te Ir C
6 2 2 2
direct
0.055 0.250 0.351
0.327 0.250 0.974
0.377 0.750 0.654
0.623 0.250 0.346
0.673 0.750 0.026
0.945 0.750 0.649
0.317 0.750 0.269
0.683 0.250 0.731
0.157 0.250 0.650
0.843 0.750 0.350
0.419 0.750 0.897
0.581 0.250 0.103
```

## Properties
Space-group type: No. 11
Formation energy (no corrections) in meV per atom: -729


## Be2HIrRh (PBE)

Data for a relaxed structure of Be2HIrRh.

Geometry as POSCAR:
```
Be2HIrRh
1.0
3.912 0.000 0.000
0.000 3.912 0.000
0.000 0.000 3.200
Be H Ir Rh
2 1 1 1
direct
0.000 0.500 0.000
0.500 0.000 0.000
0.000 0.000 0.000
0.000 0.000 0.500
0.500 0.500 0.500
```

## Properties
Space-group type: No. 123
Energy above the most stable polymorph in this dataset in meV/atom: 37


## TiNbCu2 (PBE)

Data for a relaxed structure of TiNbCu2.

Geometry as POSCAR:
```
TiNbCu2
1.0
3.042 0.000 0.000
0.000 3.042 0.000
0.000 0.000 6.437
Ti Nb Cu
1 1 2
direct
0.000 0.000 0.000
0.000 0.000 0.500
0.500 0.500 0.225
0.500 0.500 0.775
```

## Properties
Space-group type: No. 123
Formation enthalpy at 0 K in kJ/mol of formula units: 16
Energy above the most stable polymorph in this dataset in meV/atom: 27


## TaZnIr2 (PBE)

Data for a relaxed structure of TaZnIr2.

Geometry as POSCAR:
```
TaZnIr2
1.0
2.971 0.000 0.000
0.000 2.971 0.000
0.000 0.000 6.911
Ta Zn Ir
1 1 2
direct
0.000 0.000 0.000
0.000 0.000 0.500
0.500 0.500 0.257
0.500 0.500 0.743
```

## Properties
Space-group type: No. 123
Formation enthalpy at 0 K in kJ/mol of formula units: -180


## FeAg2H (PBE)

Data for a relaxed structure of FeAg2H.

Geometry as POSCAR:
```
FeAg2H
1.0
-3.199 3.199 2.625
3.199 -3.199 2.625
3.199 3.199 -2.625
Fe Ag H
2 4 2
direct
0.000 0.000 0.000
0.750 0.250 0.500
0.218 0.625 0.093
0.375 0.468 0.593
0.532 0.125 0.907
0.875 0.782 0.407
0.250 0.750 0.500
0.500 0.500 0.000
```

## Properties
Space-group type: No. 122
Energy above the most stable polymorph in this dataset in meV/atom: 0


## CsLiAcO3 (PBE)

Data for a relaxed structure of CsLiAcO3.

Geometry as POSCAR:
```
CsLiAcO3
1.0
4.705 0.000 0.000
0.000 4.705 0.000
0.000 0.000 5.438
Cs Li Ac O
1 1 1 3
direct
0.000 0.000 0.000
0.000 0.000 0.500
0.500 0.500 0.500
0.000 0.500 0.500
0.500 0.000 0.500
0.500 0.500 0.000
```

## Properties
Space-group type: No. 123
Energy above the most stable polymorph in this dataset in meV/atom: 112
Formation energy (no corrections) in meV per atom: -1840


## LiAl2HgN (PBE)

Data for a relaxed structure of LiAl2HgN.

Geometry as POSCAR:
```
LiAl2HgN
1.0
5.359 0.000 0.000
0.000 5.359 0.000
0.000 0.000 4.143
Li Al Hg N
1 2 1 1
direct
0.000 0.000 0.000
0.000 0.500 0.500
0.500 0.000 0.500
0.500 0.500 0.500
0.500 0.500 0.000
```

## Properties
Space-group type: No. 123
Energy above the most stable polymorph in this dataset in meV/atom: 1456
Formation energy (no corrections) in meV per atom: 1203


## AlNi3 (PBE)

Data for a relaxed structure of AlNi3.

Geometry as POSCAR:
```
AlNi3
1.0
5.073 0.000 0.000
-2.537 4.394 0.000
0.000 0.000 4.071
Al Ni
2 6
direct
0.333 0.667 0.250
0.667 0.333 0.750
0.165 0.329 0.750
0.165 0.835 0.750
0.329 0.165 0.250
0.671 0.835 0.750
0.835 0.165 0.250
0.835 0.671 0.250
```

## Properties
Space-group type: No. 194
Formation enthalpy at 0 K in kJ/mol of formula units: -163


## LaCuTe2O8 (PBE)

Data for a relaxed structure of LaCuTe2O8.

Geometry as POSCAR:
```
LaCuTe2O8
1.0
3.460 -3.810 0.000
3.460 3.810 0.000
0.000 0.000 6.393
La Cu Te O
1 1 2 8
direct
0.000 0.000 0.000
0.000 0.000 0.500
0.500 0.500 0.262
0.500 0.500 0.738
0.222 0.222 0.271
0.222 0.222 0.729
0.323 0.677 0.500
0.333 0.667 0.000
0.667 0.333 0.000
0.677 0.323 0.500
0.778 0.778 0.271
0.778 0.778 0.729
```

## Properties
Space-group type: No. 65
Formation energy (no corrections) in meV per atom: -1330


## Hf4PC (PBE)

Data for a relaxed structure of Hf4PC.

Geometry as POSCAR:
```
Hf4PC
1.0
-3.991 3.991 3.556
3.991 -3.991 3.556
3.991 3.991 -3.556
Hf P C
8 2 2
direct
0.142 0.449 0.692
0.199 0.007 0.808
0.199 0.392 0.192
0.289 0.000 0.289
0.711 0.000 0.711
0.750 0.539 0.789
0.750 0.961 0.211
0.757 0.449 0.308
0.235 0.735 0.500
0.485 0.485 0.000
0.715 0.215 0.500
0.965 0.965 0.000
```

## Properties
Space-group type: No. 109
Formation enthalpy at 0 K in kJ/mol of formula units: -388


## Cd2TcAu (PBE)

Data for a relaxed structure of Cd2TcAu.

Geometry as POSCAR:
```
Cd2TcAu
1.0
4.831 -1.420 0.000
4.831 1.420 0.000
-0.851 0.000 5.285
Cd Tc Au
2 1 1
direct
0.249 0.249 0.242
0.751 0.751 0.758
0.500 0.500 0.000
0.000 0.000 0.500
```

## Properties
Space-group type: No. 12
Formation enthalpy at 0 K in kJ/mol of formula units: 116
Energy above the most stable polymorph in this dataset in meV/atom: 75


## Ca2AcTl6 (PBE)

Data for a relaxed structure of Ca2AcTl6.

Geometry as POSCAR:
```
Ca2AcTl6
1.0
9.295 0.000 0.000
-4.648 8.050 0.000
0.000 0.000 3.702
Ca Ac Tl
2 1 6
direct
0.333 0.667 0.000
0.667 0.333 0.000
0.000 0.000 0.000
0.000 0.337 0.500
0.000 0.663 0.500
0.337 0.000 0.500
0.337 0.337 0.500
0.663 0.000 0.500
0.663 0.663 0.500
```

## Properties
Space-group type: No. 191
Formation enthalpy at 0 K in kJ/mol of formula units: -210


## BaBeRu2 (PBE)

Data for a relaxed structure of BaBeRu2.

Geometry as POSCAR:
```
BaBeRu2
1.0
-2.397 2.397 8.098
2.397 -2.397 8.098
2.397 2.397 -8.098
Ba Be Ru
2 2 4
direct
0.000 0.000 0.000
0.750 0.250 0.500
0.250 0.750 0.500
0.500 0.500 0.000
0.369 0.125 0.744
0.375 0.631 0.756
0.381 0.625 0.256
0.875 0.619 0.244
```

## Properties
Space-group type: No. 122
Formation enthalpy at 0 K in kJ/mol of formula units: 221


## SrAc9Pr2 (PBE)

Data for a relaxed structure of SrAc9Pr2.

Geometry as POSCAR:
```
SrAc9Pr2
1.0
5.599 0.000 0.000
0.000 5.599 0.000
0.000 0.000 16.824
Sr Ac Pr
1 9 2
direct
0.000 0.000 0.000
0.000 0.500 0.174
0.000 0.500 0.500
0.000 0.500 0.826
0.500 0.000 0.174
0.500 0.000 0.500
0.500 0.000 0.826
0.500 0.500 0.000
0.500 0.500 0.336
0.500 0.500 0.664
0.000 0.000 0.335
0.000 0.000 0.665
```

## Properties
Space-group type: No. 123
Formation enthalpy at 0 K in kJ/mol of formula units: 38


## LiPr2Zn2Ni5 (PBE)

Data for a relaxed structure of LiPr2Zn2Ni5.

Geometry as POSCAR:
```
LiPr2Zn2Ni5
1.0
9.502 0.000 0.000
0.000 9.502 0.000
0.000 0.000 3.736
Li Pr Zn Ni
2 4 4 10
direct
0.000 0.000 0.000
0.500 0.500 0.000
0.186 0.314 0.000
0.314 0.814 0.000
0.686 0.186 0.000
0.814 0.686 0.000
0.109 0.609 0.000
0.391 0.109 0.000
0.609 0.891 0.000
0.891 0.391 0.000
0.000 0.500 0.500
0.063 0.778 0.500
0.222 0.063 0.500
0.278 0.563 0.500
0.437 0.278 0.500
0.500 0.000 0.500
0.563 0.722 0.500
0.722 0.437 0.500
0.778 0.937 0.500
0.937 0.222 0.500
```

## Properties
Space-group type: No. 127
Formation enthalpy at 0 K in kJ/mol of formula units: -76


## Tm5ZrP6 (PBE)

Data for a relaxed structure of Tm5ZrP6.

Geometry as POSCAR:
```
Tm5ZrP6
1.0
3.383 -5.854 0.000
3.383 5.854 0.000
-2.257 0.000 6.380
Tm Zr P
5 1 6
direct
0.000 0.000 0.000
0.166 0.834 0.500
0.332 0.668 0.000
0.668 0.332 0.000
0.834 0.166 0.500
0.500 0.500 0.500
0.092 0.418 0.255
0.256 0.256 0.747
0.418 0.092 0.255
0.582 0.908 0.745
0.744 0.744 0.253
0.908 0.582 0.745
```

## Properties
Space-group type: No. 12
Formation enthalpy at 0 K in kJ/mol of formula units: -1819


## LiAlNO2 (PBE)

Data for a relaxed structure of LiAlNO2.

Geometry as POSCAR:
```
LiAlNO2
1.0
3.705 0.000 0.000
0.000 3.705 0.000
0.000 0.000 3.913
Li Al N O
1 1 1 2
direct
0.000 0.000 0.000
0.500 0.500 0.500
0.500 0.500 0.000
0.000 0.500 0.500
0.500 0.000 0.500
```

## Properties
Space-group type: No. 123
Formation energy (no corrections) in meV per atom: -849


| no. | E (eV per atom) |
| --- | --- |
| 1 | -4.71 |
| 2 | -3.24 |
| 3 | -3.58 |
| 4 | -2.03 |
| 5 | -2.07 |
| 6 | -5.41 |
| 7 | -7.98 |
| 8 | -5.60 |
| 9 | -6.50 |
| 10 | -8.18 |
| 11 | -3.80 |
| 12 | -5.47 |
| 13 | -2.40 |
| 14 | -5.69 |
| 15 | -5.91 |
| 16 | -9.74 |
| 17 | -3.57 |
| 18 | -2.72 |
| 19 | -5.48 |
| 20 | -3.99 |
| 21 | -4.37 |
| 22 | -6.85 |
| 23 | -5.63 |